## Sr4AlP4 (GGA-PBE)

Data for crystalline Sr4AlP4 at its relaxed geometry.

```
Sr4AlP4
1.0
8.7882 0.0000 0.0000
0.0000 8.7882 0.0000
0.0000 0.0000 6.4409
Sr Al P
8 2 8
Direct
0.0196 0.2500 0.0658
0.2500 0.0196 0.5658
0.2500 0.4804 0.5658
0.4804 0.2500 0.0658
0.5196 0.7500 0.9342
0.7500 0.5196 0.4342
0.7500 0.9804 0.4342
0.9804 0.7500 0.9342
0.2500 0.7500 0.2500
0.7500 0.2500 0.7500
0.0204 0.7500 0.4522
0.2500 0.5204 0.0478
0.2500 0.9796 0.0478
0.4796 0.7500 0.4522
0.5204 0.2500 0.5478
0.7500 0.0204 0.9522
0.7500 0.4796 0.9522
0.9796 0.2500 0.5478
```

Results
* N(E_F): 0.91 states/eV per atom
* E: -4.5445 eV per atom


## Sr2AlP2 (GGA-PBE)

Data for crystalline Sr2AlP2 at its relaxed geometry.

```
Sr2AlP2
1.0
7.4779 0.0000 0.0000
0.0000 7.4779 0.0000
0.0000 0.0000 4.3404
Sr Al P
4 2 4
Direct
0.1496 0.3504 0.0000
0.3504 0.8504 0.0000
0.6496 0.1496 0.0000
0.8504 0.6496 0.0000
0.0000 0.0000 0.5000
0.5000 0.5000 0.5000
0.1666 0.6666 0.5000
0.3334 0.1666 0.5000
0.6666 0.8334 0.5000
0.8334 0.3334 0.5000
```

Results
* N(E_F): 0.86 states/eV per atom
* ΔE to the lowest computed polymorph: 0.211 eV/atom


> The highest N(E_F) belongs to which entry?

Sr4AlP4